Entry from the Alexandria database: Be2AlCd2 at its PBEsol-relaxed geometry (SCAN).

Properties
DFT formation energy: 1.8 eV per formula unit
Total magnetization: 0.000 μB/cell

a b c (Å): 3.9281 6.2631 6.2631
angles (deg): 90.00 90.00 90.00
Fractional coordinates of all 10 atoms:
Al (0.0000, 0.0000, 0.0000)
Al (0.0000, 0.5000, 0.5000)
Be (0.0000, 0.3737, 0.8737)
Be (0.0000, 0.6263, 0.1263)
Be (0.0000, 0.1263, 0.3737)
Be (0.0000, 0.8737, 0.6263)
Cd (0.5000, 0.6692, 0.8308)
Cd (0.5000, 0.3308, 0.1692)
Cd (0.5000, 0.8308, 0.3308)
Cd (0.5000, 0.1692, 0.6692)



Entry from the Alexandria database: Hf3Ti2Pb5O15 at its PBEsol-relaxed geometry (SCAN).

Properties
E_form (uncorrected): -2.658 eV per atom
Total magnetization: 0.000 μB/cell

a b c (Å): 5.7253 7.0404 9.0517
angles (deg): 103.84 108.44 90.00
Fractional coordinates of all 25 atoms:
Hf (0.6017, 0.3993, 0.2035)
Hf (0.0000, 0.0046, 0.0001)
Hf (0.2038, 0.8030, 0.4075)
Ti (0.8050, 0.2142, 0.6101)
Ti (0.4053, 0.6180, 0.8106)
O (0.2961, 0.6667, 0.5922)
O (0.8885, 0.0762, 0.7771)
O (0.9813, 0.9923, 0.4911)
O (0.1864, 0.7800, 0.8798)
O (0.6973, 0.2792, 0.3946)
O (0.4891, 0.4857, 0.9783)
O (0.2969, 0.1948, 0.0787)
O (0.0989, 0.3782, 0.6875)
O (0.7818, 0.1948, 0.0787)
O (0.5886, 0.3782, 0.6875)
O (0.8995, 0.5949, 0.2842)
O (0.5098, 0.9923, 0.4911)
O (0.3848, 0.5949, 0.2842)
O (0.6934, 0.7800, 0.8798)
O (0.0939, 0.8821, 0.1878)
Pb (0.6229, 0.9285, 0.2457)
Pb (0.4094, 0.1485, 0.8188)
Pb (0.8123, 0.7376, 0.6247)
Pb (0.0151, 0.5296, 0.0302)
Pb (0.2230, 0.3239, 0.4459)



Entry from the Alexandria database: TaRu2Pb at its PBEsol-relaxed geometry (SCAN).

Properties
DFT formation energy: 0.9 eV per formula unit
Total magnetization: 0.000 μB/cell

a b c (Å): 3.8338 3.8338 5.1953
angles (deg): 111.65 111.65 90.00
Fractional coordinates of all 4 atoms:
Pb (0.2500, 0.7500, 0.5000)
Ta (0.5000, 0.5000, 0.0000)
Ru (0.0000, 0.0000, 0.0000)
Ru (0.7500, 0.2500, 0.5000)



Entry from the Alexandria database: LiCd2In at its PBEsol-relaxed geometry (SCAN).

Properties
DFT formation energy: -0.7 eV per formula unit
Total magnetization: 0.000 μB/cell

a b c (Å): 4.3457 4.3457 5.2713
angles (deg): 114.34 114.34 90.00
Fractional coordinates of all 4 atoms:
Li (0.7500, 0.2500, 0.5000)
Cd (0.2500, 0.7500, 0.5000)
Cd (0.0000, 0.0000, 0.0000)
In (0.5000, 0.5000, 0.0000)



Entry from the Alexandria database: CsHfTa2 at its PBEsol-relaxed geometry (SCAN).

Properties
DFT formation energy: 7.3 eV per formula unit
Total magnetization: 0.000 μB/cell

a b c (Å): 4.9378 4.9378 4.9378
angles (deg): 60.00 60.00 60.00
Fractional coordinates of all 4 atoms:
Ta (0.2500, 0.2500, 0.2500)
Ta (0.7500, 0.7500, 0.7500)
Hf (0.5000, 0.5000, 0.5000)
Cs (0.0000, 0.0000, 0.0000)



Entry from the Alexandria database: In2OsW at its PBEsol-relaxed geometry (SCAN).

Properties
DFT formation energy: 3.0 eV per formula unit
Total magnetization: 0.000 μB/cell
Energy above the most stable polymorph in this dataset: 220 meV per atom

a b c (Å): 2.9008 2.9008 9.2277
angles (deg): 90.00 90.00 116.25
Fractional coordinates of all 4 atoms:
Os (0.5000, 0.5000, 0.5000)
In (0.0000, 0.0000, 0.7423)
In (0.0000, 0.0000, 0.2577)
W (0.5000, 0.5000, 0.0000)



Entry from the Alexandria database: Sc11Ga9 at its PBEsol-relaxed geometry (SCAN).

Properties
DFT formation energy: -13.7 eV per formula unit
Total magnetization: 0.000 μB/cell

a b c (Å): 10.2016 10.2016 10.2059
angles (deg): 117.75 117.75 93.93
Fractional coordinates of all 40 atoms:
Sc (0.0593, 0.8333, 0.6294)
Sc (0.8333, 0.0593, 0.6294)
Sc (0.5702, 0.7961, 0.6294)
Sc (0.1591, 0.9332, 0.3554)
Sc (0.6965, 0.3468, 0.7632)
Sc (0.2957, 0.6454, 0.2216)
Sc (0.9258, 0.5761, 0.2216)
Sc (0.4164, 0.0666, 0.7632)
Sc (0.5761, 0.9258, 0.2216)
Sc (0.7961, 0.5702, 0.6294)
Sc (0.8217, 0.1708, 0.9925)
Sc (0.3327, 0.3327, 0.6653)
Sc (0.6598, 0.6598, 0.3195)
Sc (0.1749, 0.1749, 0.9924)
Sc (0.8175, 0.8175, 0.9924)
Sc (0.1708, 0.8217, 0.9925)
Sc (0.4222, 0.1963, 0.3554)
Sc (0.1963, 0.4222, 0.3554)
Sc (0.6454, 0.2957, 0.2216)
Sc (0.3468, 0.6965, 0.7632)
Sc (0.0666, 0.4164, 0.7632)
Sc (0.9332, 0.1591, 0.3554)
Ga (0.0924, 0.0924, 0.1848)
Ga (0.9960, 0.4962, 0.4922)
Ga (0.7462, 0.2462, 0.4925)
Ga (0.9000, 0.9000, 0.7999)
Ga (0.9857, 0.6193, 0.9923)
Ga (0.3728, 0.3728, 0.9925)
Ga (0.3730, 0.0066, 0.9923)
Ga (0.6192, 0.3733, 0.9924)
Ga (0.6193, 0.9857, 0.9923)
Ga (0.2462, 0.7462, 0.4925)
Ga (0.4636, 0.4636, 0.3298)
Ga (0.4962, 0.9960, 0.4922)
Ga (0.3733, 0.6192, 0.9924)
Ga (0.5289, 0.5289, 0.6551)
Ga (0.6197, 0.6197, 0.9925)
Ga (0.0066, 0.3730, 0.9923)
Ga (0.8663, 0.8663, 0.3298)
Ga (0.1262, 0.1262, 0.6551)



Entry from the Alexandria database: IrSe2Cl at its PBEsol-relaxed geometry (SCAN).

Properties
E_form (uncorrected): 1.051 eV per atom
Total magnetization: 0.001 μB/cell
Energy above the most stable polymorph in this dataset: 1289 meV per atom

a b c (Å): 3.1276 4.3148 5.0531
angles (deg): 90.00 90.00 90.00
Fractional coordinates of all 4 atoms:
Se (0.5000, 0.5000, 0.0000)
Se (0.0000, 0.0000, 0.0000)
Ir (0.0000, 0.5000, 0.5000)
Cl (0.5000, 0.0000, 0.5000)



Entry from the Alexandria database: TlGaS2 at its PBEsol-relaxed geometry (SCAN).

Properties
E_form (uncorrected): -0.666 eV per atom
Total magnetization: 0.000 μB/cell

a b c (Å): 6.3336 6.3336 6.3336
angles (deg): 101.35 113.68 113.68
Fractional coordinates of all 8 atoms:
S (0.4078, 0.8750, 0.7828)
S (0.9078, 0.5328, 0.1250)
S (0.0922, 0.2172, 0.6250)
S (0.5922, 0.3750, 0.4672)
Ga (0.5000, 0.2500, 0.7500)
Ga (0.0000, 0.5000, 0.5000)
Tl (0.5000, 0.7500, 0.2500)
Tl (0.0000, 0.0000, 0.0000)



Entry from the Alexandria database: Tl2SeCl at its PBEsol-relaxed geometry (SCAN).

Properties
E_form (uncorrected): -0.616 eV per atom
Total magnetization: 0.000 μB/cell
Energy above the most stable polymorph in this dataset: 0 meV per atom

a b c (Å): 4.0695 4.1377 7.0524
angles (deg): 90.00 106.77 90.00
Fractional coordinates of all 4 atoms:
Se (0.7433, 0.5000, 0.4866)
Cl (0.4648, 0.0000, 0.9296)
Tl (0.2595, 0.0000, 0.5190)
Tl (0.0324, 0.5000, 0.0648)



Entry from the Alexandria database: SrLaI4 at its PBEsol-relaxed geometry (SCAN).

Properties
E_form (uncorrected): -1.707 eV per atom
Total magnetization: 0.000 μB/cell

a b c (Å): 7.4353 8.4166 8.8763
angles (deg): 113.11 109.05 101.24
Fractional coordinates of all 12 atoms:
I (0.7100, 0.2975, 0.3558)
I (0.1323, 0.3667, 0.1250)
I (0.8677, 0.6333, 0.8750)
I (0.8542, 0.9416, 0.6442)
I (0.1458, 0.0584, 0.3558)
I (0.2900, 0.7025, 0.6442)
I (0.5073, 0.2417, 0.8750)
I (0.4927, 0.7583, 0.1250)
Sr (0.8840, 0.6340, 0.2681)
Sr (0.1160, 0.3660, 0.7319)
La (0.7499, 0.9999, 0.9998)
La (0.2501, 0.0001, 0.0002)



Entry from the Alexandria database: RbLaPb2 at its PBEsol-relaxed geometry (SCAN).

Properties
DFT formation energy: -1.5 eV per formula unit
Total magnetization: 0.000 μB/cell

a b c (Å): 5.7422 5.7422 5.7422
angles (deg): 60.00 60.00 60.00
Fractional coordinates of all 4 atoms:
Pb (0.7500, 0.7500, 0.7500)
Pb (0.2500, 0.2500, 0.2500)
La (0.5000, 0.5000, 0.5000)
Rb (0.0000, 0.0000, 0.0000)



Q: Which value of total magnetization does entry 11 give?
A: 0.000 μB/cell